## CeSmYZr (PBE-GGA)

Data for a relaxed structure of CeSmYZr.

Output
DOS at the Fermi energy	9.605	states/eV per cell
energy	-6.182	eV/atom
calculated formation energy	0.23	eV/atom

Structure (POSCAR):
```
CeSmYZr
1.0
0.000 3.877 3.877
3.877 0.000 3.877
3.877 3.877 0.000
Ce Sm Y Zr
1 1 1 1
direct
0.000 0.000 0.000
0.500 0.500 0.500
0.250 0.250 0.250
0.750 0.750 0.750
```

---

## CeSm3Zn8 (PBE-GGA)

Data for a relaxed structure of CeSm3Zn8.

Output
distance to the lowest polymorph of the same formula	0.019	eV/atom
DOS at the Fermi energy	10.984	states/eV per cell
energy	-2.818	eV/atom
calculated formation energy	-0.29	eV/atom

Structure (POSCAR):
```
CeSm3Zn8
1.0
5.616 0.000 0.000
-2.808 4.863 0.000
0.000 0.000 8.729
Ce Sm Zn
1 3 8
direct
0.000 0.000 0.000
0.000 0.000 0.375
0.667 0.333 0.498
0.667 0.333 0.884
0.165 0.330 0.689
0.165 0.835 0.689
0.333 0.667 0.441
0.333 0.667 0.940
0.500 0.001 0.191
0.500 0.500 0.191
0.670 0.835 0.689
0.999 0.500 0.191
```

---

## Ce2SmZn (PBE-GGA)

Data for a relaxed structure of Ce2SmZn.

Output
distance to the lowest polymorph of the same formula	0.000	eV/atom
DOS at the Fermi energy	11.353	states/eV per cell
energy	-4.476	eV/atom
calculated formation energy	-0.01	eV/atom

Structure (POSCAR):
```
Ce2SmZn
1.0
3.717 0.000 0.000
0.000 3.717 0.000
0.000 0.000 8.085
Ce Sm Zn
2 1 1
direct
0.000 0.000 0.197
0.000 0.000 0.803
0.500 0.500 0.500
0.500 0.500 0.000
```

---

## CeSm2Zn3 (PBE-GGA)

Data for a relaxed structure of CeSm2Zn3.

Output
DOS at the Fermi energy	10.753	states/eV per cell
energy	-3.467	eV/atom
calculated formation energy	-0.27	eV/atom

Structure (POSCAR):
```
CeSm2Zn3
1.0
3.619 0.000 0.000
0.000 3.619 0.000
0.000 0.000 11.001
Ce Sm Zn
1 2 3
direct
0.000 0.000 0.000
0.000 0.000 0.334
0.000 0.000 0.666
0.500 0.500 0.168
0.500 0.500 0.500
0.500 0.500 0.832
```

---

## Ce3SmZn8 (PBE-GGA)

Data for a relaxed structure of Ce3SmZn8.

Output
distance to the lowest polymorph of the same formula	0.006	eV/atom
DOS at the Fermi energy	16.400	states/eV per cell
energy	-3.003	eV/atom
calculated formation energy	-0.28	eV/atom

Structure (POSCAR):
```
Ce3SmZn8
1.0
5.645 0.000 0.000
-2.823 4.889 0.000
0.000 0.000 8.544
Ce Sm Zn
3 1 8
direct
0.000 0.000 0.000
0.000 0.000 0.337
0.333 0.667 0.862
0.333 0.667 0.490
0.327 0.163 0.671
0.500 0.001 0.173
0.500 0.500 0.173
0.667 0.333 0.423
0.667 0.333 0.919
0.837 0.163 0.671
0.837 0.673 0.671
0.999 0.500 0.173
```

---

## CeSm3Zn8 (PBE-GGA)

Data for a relaxed structure of CeSm3Zn8.

Output
distance to the lowest polymorph of the same formula	0.000	eV/atom
DOS at the Fermi energy	8.234	states/eV per cell
energy	-2.837	eV/atom
calculated formation energy	-0.31	eV/atom

Structure (POSCAR):
```
CeSm3Zn8
1.0
2.762 1.595 9.013
-2.762 1.595 9.013
0.000 -3.189 9.013
Ce Sm Zn
1 3 8
direct
0.000 0.000 0.000
0.124 0.124 0.124
0.501 0.501 0.501
0.627 0.627 0.627
0.063 0.063 0.561
0.063 0.561 0.063
0.064 0.563 0.563
0.313 0.313 0.313
0.561 0.063 0.063
0.563 0.064 0.563
0.563 0.563 0.064
0.813 0.813 0.813
```